Entry 1:
A plane-wave DFT calculation with PBE was carried out for an optimized crystal structure of LaPmPr2In.

```
LaPmPr2In
1.0
-0.425 6.274 2.522
-5.438 1.155 -3.791
-1.831 -3.189 7.628
La Pm Pr In
2 2 4 2
direct
0.750 0.748 0.495
0.250 0.252 0.505
0.250 0.844 0.687
0.750 0.156 0.313
0.500 0.258 0.000
0.000 0.742 0.000
0.500 0.742 0.000
0.000 0.258 0.000
0.250 0.650 0.300
0.750 0.350 0.700
```

Symmetry = Cmcm
Energy relative to the elements = 0.2 eV/f.u.
Crystal system = orthorhombic

Entry 2:
A plane-wave DFT calculation with PBE was carried out for an optimized crystal structure of TcMoSe2.

```
TcMoSe2
1.0
-1.467 -7.729 3.444
0.117 -8.542 0.882
1.652 -7.685 3.459
Mo Tc Se
1 1 2
direct
0.500 0.500 0.500
0.000 0.000 0.000
0.905 0.905 0.905
0.095 0.095 0.095
```

Symmetry = R-3m
E_form (uncorrected) = 158 meV per atom
Crystal system = trigonal

Entry 3:
A plane-wave DFT calculation with PBE was carried out for an optimized crystal structure of Mg3HgBr.

```
Mg3HgBr
1.0
-1.028 -5.139 -0.741
3.184 -0.027 -4.227
4.101 -1.267 3.097
Mg Hg Br
3 1 1
direct
0.000 0.500 0.000
0.000 0.000 0.500
0.500 0.000 0.000
0.500 0.500 0.500
0.000 0.000 0.000
```

Symmetry = Pm-3m
E_form (uncorrected) = 280 meV per atom
Crystal system = cubic

no.,total magnetization (μB per formula unit)
1,0.0
2,0.0
3,0.0